1.
Material: Nd2CdIn
Method: DFT, SCAN
State: single point on PBEsol structure

```
Nd2CdIn
1.0
-1.220 5.235 -0.005
-1.501 2.405 -4.566
-5.098 1.571 -0.660
Nd In Cd
2 1 1
direct
0.250 0.250 0.250
0.750 0.750 0.750
0.000 0.000 0.000
0.500 0.500 0.500
```

DFT total energy ... -153.2 eV/f.u.
Spin magnetization ... 0.72 μB per formula unit
Formation energy ... -54.0 kJ per mole of atoms
Space group ... Fm-3m (225)

2.
Material: Cd2InNi
Method: DFT, SCAN
State: single point on PBEsol structure

```
Cd2InNi
1.0
-1.294 -0.117 -3.850
-1.319 -3.802 0.559
-3.814 1.505 1.236
Ni In Cd
1 1 2
direct
0.000 0.000 0.500
0.500 0.500 0.500
0.000 0.500 0.000
0.500 0.000 0.000
```

DFT total energy ... -109.8 eV/f.u.
Spin magnetization ... 0.00 μB per formula unit
Formation energy ... 13.4 kJ per mole of atoms
Space group ... P4/mmm (123)

3.
Material: Cd2InNi
Method: DFT, SCAN
State: single point on PBEsol structure

```
Cd2InNi
1.0
2.894 0.000 0.000
0.000 4.424 0.000
-1.447 -2.212 6.067
Cd In Ni
2 1 1
direct
0.068 0.568 0.136
0.245 0.245 0.489
0.434 0.934 0.867
0.754 0.754 0.507
```

DFT total energy ... -110.4 eV/f.u.
Spin magnetization ... 0.00 μB per formula unit
Formation energy ... 0.8 kJ per mole of atoms
Space group ... Imm2 (44)

4.
Material: Cd2InNi
Method: DFT, SCAN
State: single point on PBEsol structure

```
Cd2InNi
1.0
2.898 0.000 0.000
0.000 4.332 -0.057
-1.449 -2.088 6.097
In Cd Ni
1 2 1
direct
0.500 0.000 0.000
0.688 0.688 0.376
0.312 0.312 0.624
0.000 0.500 0.000
```

DFT total energy ... -110.6 eV/f.u.
Spin magnetization ... 0.00 μB per formula unit
Formation energy ... -3.9 kJ per mole of atoms
Space group ... Immm (71)

5.
Material: CdIn3Ni
Method: DFT, SCAN
State: single point on PBEsol structure

```
CdIn3Ni
1.0
4.906 0.000 0.000
0.000 4.906 0.000
0.000 0.000 4.906
In Cd Ni
3 1 1
direct
0.000 0.000 0.500
0.000 0.500 0.000
0.500 0.000 0.000
0.500 0.500 0.500
0.000 0.000 0.000
```

DFT total energy ... -146.7 eV/f.u.
Spin magnetization ... 0.00 μB per formula unit
Formation energy ... 0.1 kJ per mole of atoms
Space group ... Pm-3m (221)

6.
Material: Cd2InNi
Method: DFT, SCAN
State: single point on PBEsol structure

```
Cd2InNi
1.0
-0.010 -3.815 -1.681
2.427 -1.372 3.100
-4.518 1.645 1.462
Cd Ni In
2 1 1
direct
0.750 0.250 0.500
0.000 0.000 0.000
0.250 0.750 0.500
0.500 0.500 0.000
```

DFT total energy ... -109.9 eV/f.u.
Spin magnetization ... 0.00 μB per formula unit
Formation energy ... 12.7 kJ per mole of atoms
Space group ... I-4m2 (119)

7.
Material: CdIn2O4
Method: DFT, SCAN
State: single point on PBEsol structure

```
CdIn2O4
1.0
6.510 0.000 0.000
3.255 5.638 0.000
3.255 1.879 5.315
In O Cd
4 8 2
direct
0.625 0.625 0.625
0.125 0.625 0.625
0.625 0.625 0.125
0.625 0.125 0.625
0.836 0.388 0.388
0.862 0.862 0.414
0.388 0.836 0.388
0.388 0.388 0.836
0.414 0.862 0.862
0.862 0.414 0.862
0.388 0.388 0.388
0.862 0.862 0.862
0.000 0.000 0.000
0.250 0.250 0.250
```

DFT total energy ... -133.7 eV/f.u.
Spin magnetization ... 0.00 μB per formula unit
ΔE_f (raw) ... -1655 meV per atom
Energy above the lowest structure with this stoichiometry ... 0 meV per atom
Space group ... Fd-3m (227)

8.
Material: CdIn2O4
Method: DFT, SCAN
State: single point on PBEsol structure

```
CdIn2O4
1.0
-1.997 5.103 3.253
-5.961 2.354 -1.110
-4.601 -0.716 4.541
O Cd In
8 2 4
direct
0.267 0.238 0.229
0.267 0.729 0.738
0.734 0.248 0.748
0.266 0.752 0.252
0.269 0.248 0.748
0.733 0.271 0.262
0.733 0.762 0.771
0.731 0.752 0.252
0.500 0.500 0.000
0.000 0.500 0.000
0.135 0.115 0.615
0.500 0.500 0.500
0.500 0.000 0.000
0.865 0.885 0.385
```

DFT total energy ... -133.2 eV/f.u.
Spin magnetization ... 0.00 μB per formula unit
ΔE_f (raw) ... -1581 meV per atom
Energy above the lowest structure with this stoichiometry ... 74 meV per atom
Space group ... Imma (74)